The following is a GGA-PBE calculation of DyY2HoTm6 after structural relaxation, from Alexandria via LeMat-Bulk.

a = 8.9678 Å, b = 8.9678 Å, c = 8.7750 Å
α = 90.03°, β = 90.03°, γ = 117.87°
Atoms (fractional coordinates):
1 Dy 0.0585 0.9415 0.7500
2 Dy 0.9415 0.0585 0.2500
3 Y 0.1994 0.3018 0.5631
4 Y 0.3018 0.1994 0.0631
5 Y 0.6982 0.8006 0.9369
6 Y 0.8006 0.6982 0.4369
7 Ho 0.4412 0.5588 0.2500
8 Ho 0.5588 0.4412 0.7500
9 Tm 0.0308 0.4698 0.3149
10 Tm 0.0754 0.7775 0.0747
11 Tm 0.2225 0.9246 0.4253
12 Tm 0.2771 0.5739 0.9242
13 Tm 0.4261 0.7229 0.5758
14 Tm 0.4698 0.0308 0.8149
15 Tm 0.5302 0.9692 0.1851
16 Tm 0.5739 0.2771 0.4242
17 Tm 0.7229 0.4261 0.0758
18 Tm 0.7775 0.0754 0.5747
19 Tm 0.9246 0.2225 0.9253
20 Tm 0.9692 0.5302 0.6851

The following is a GGA-PBE calculation of DyY2Ho5Tm after structural relaxation, from Alexandria via LeMat-Bulk.

a = 10.2372 Å, b = 10.2372 Å, c = 10.5602 Å
α = 90.00°, β = 90.00°, γ = 148.41°
Atoms (fractional coordinates):
1 Dy 0.2011 0.7989 0.5000
2 Dy 0.7989 0.2011 0.0000
3 Y 0.1091 0.8909 0.2270
4 Y 0.1135 0.8865 0.8085
5 Y 0.8865 0.1135 0.3085
6 Y 0.8909 0.1091 0.7270
7 Ho 0.0194 0.9806 0.5148
8 Ho 0.2828 0.7172 0.7960
9 Ho 0.3000 0.7000 0.1970
10 Ho 0.3920 0.6080 0.5121
11 Ho 0.4796 0.5204 0.2286
12 Ho 0.5204 0.4796 0.7286
13 Ho 0.6080 0.3920 0.0121
14 Ho 0.7000 0.3000 0.6970
15 Ho 0.7172 0.2828 0.2960
16 Ho 0.9806 0.0194 0.0148
17 Tm 0.4128 0.5872 0.9490
18 Tm 0.5872 0.4128 0.4490

The following is a GGA-PBE calculation of DyYHoTm after structural relaxation, from Alexandria via LeMat-Bulk.

Results
E above lowest polymorph: 114 meV per atom

a = 7.9794 Å, b = 7.9794 Å, c = 7.9794 Å
α = 90.00°, β = 90.00°, γ = 90.00°
Atoms (fractional coordinates):
1 Dy 0.0000 0.0000 0.0000
2 Dy 0.0000 0.5000 0.5000
3 Dy 0.5000 0.0000 0.5000
4 Dy 0.5000 0.5000 0.0000
5 Y 0.0000 0.0000 0.5000
6 Y 0.0000 0.5000 0.0000
7 Y 0.5000 0.0000 0.0000
8 Y 0.5000 0.5000 0.5000
9 Ho 0.2500 0.2500 0.7500
10 Ho 0.2500 0.7500 0.2500
11 Ho 0.7500 0.2500 0.2500
12 Ho 0.7500 0.7500 0.7500
13 Tm 0.2500 0.2500 0.2500
14 Tm 0.2500 0.7500 0.7500
15 Tm 0.7500 0.2500 0.7500
16 Tm 0.7500 0.7500 0.2500

| no. | total magnetization (μB/atom) | DFT formation energy (meV per atom) | total energy (eV/atom) |
| --- | --- | --- | --- |
| 1 | 0.000 | 131 | -4.7631 |
| 2 | 0.000 | 152 | -4.8358 |
| 3 | 0.001 | 139 | -4.8894 |